Record 1
Density functional theory data (PBE-GGA) for an optimized crystal structure of Ni2TeH2.

```
data_Ni2TeH2
_chemical_formula_sum 'Ni4 Te2 H4'
_cell_length_a 5.585
_cell_length_b 5.585
_cell_length_c 3.476
_cell_angle_alpha 90.00
_cell_angle_beta 90.00
_cell_angle_gamma 90.00
_symmetry_space_group_name_H-M 'P 4/m b m'
_symmetry_Int_Tables_number 127
_symmetry_space_group_name_Hall '-P 4 2ab'
loop_
_atom_site_label
_atom_site_type_symbol
_atom_site_fract_x
_atom_site_fract_y
_atom_site_fract_z
_atom_site_occupancy
Ni1 Ni 0.172 0.328 0.000 1
Te1 Te 0.000 0.000 0.500 1
H1 H 0.050 0.550 0.500 1
```

Output
energy	-3.9050	eV/atom
E above lowest polymorph	309	meV/atom


Record 2
Density functional theory data (PBE-GGA) for an optimized crystal structure of Ni2TeH2.

```
data_Ni2TeH2
_chemical_formula_sum 'Ni4 Te2 H4'
_cell_length_a 3.521
_cell_length_b 3.521
_cell_length_c 8.993
_cell_angle_alpha 90.00
_cell_angle_beta 90.00
_cell_angle_gamma 90.00
_symmetry_space_group_name_H-M 'I 4/m m m'
_symmetry_Int_Tables_number 139
_symmetry_space_group_name_Hall '-I 4 2'
loop_
_atom_site_label
_atom_site_type_symbol
_atom_site_fract_x
_atom_site_fract_y
_atom_site_fract_z
_atom_site_occupancy
Ni1 Ni 0.000 0.500 0.250 1
Te1 Te 0.000 0.000 0.000 1
H1 H 0.000 0.000 0.290 1
```

Output
energy	-4.2136	eV/atom
E above lowest polymorph	0	meV/atom


Record 3
Density functional theory data (PBE-GGA) for an optimized crystal structure of Th12Ni3H5.

```
data_Th12Ni3H5
_chemical_formula_sum 'Th96 Ni24 H40'
_cell_length_a 15.324
_cell_length_b 15.324
_cell_length_c 15.324
_cell_angle_alpha 90.00
_cell_angle_beta 90.00
_cell_angle_gamma 90.00
_symmetry_space_group_name_H-M 'I a -3 d'
_symmetry_Int_Tables_number 230
_symmetry_space_group_name_Hall '-I 4bd 2c 3'
loop_
_atom_site_label
_atom_site_type_symbol
_atom_site_fract_x
_atom_site_fract_y
_atom_site_fract_z
_atom_site_occupancy
Th1 Th 0.036 0.065 0.652 1
Ni1 Ni 0.000 0.250 0.125 1
H1 H 0.000 0.000 0.000 1
H2 H 0.000 0.250 0.375 1
```

Output
energy	-6.2598	eV/atom


Record 4
Density functional theory data (PBE-GGA) for an optimized crystal structure of ThNi3H3.

```
data_ThNi3H3
_chemical_formula_sum 'Th8 Ni24 H24'
_cell_length_a 8.646
_cell_length_b 8.646
_cell_length_c 8.646
_cell_angle_alpha 90.00
_cell_angle_beta 90.00
_cell_angle_gamma 90.00
_symmetry_space_group_name_H-M 'F m -3 m'
_symmetry_Int_Tables_number 225
_symmetry_space_group_name_Hall '-F 4 2 3'
loop_
_atom_site_label
_atom_site_type_symbol
_atom_site_fract_x
_atom_site_fract_y
_atom_site_fract_z
_atom_site_occupancy
Th1 Th 0.250 0.250 0.250 1
Ni1 Ni 0.000 0.000 0.194 1
H1 H 0.000 0.000 0.363 1
```

Output
energy	-4.8868	eV/atom


Record 5
Density functional theory data (PBE-GGA) for an optimized crystal structure of Th2NiH.

```
data_Th2NiH
_chemical_formula_sum 'Th4 Ni2 H2'
_cell_length_a 6.340
_cell_length_b 3.649
_cell_length_c 7.334
_cell_angle_alpha 90.00
_cell_angle_beta 107.14
_cell_angle_gamma 90.00
_symmetry_space_group_name_H-M 'P 1 21/m 1'
_symmetry_Int_Tables_number 11
_symmetry_space_group_name_Hall '-P 2yb'
loop_
_atom_site_label
_atom_site_type_symbol
_atom_site_fract_x
_atom_site_fract_y
_atom_site_fract_z
_atom_site_occupancy
Th1 Th 0.213 0.250 0.422 1
Th2 Th 0.224 0.250 0.936 1
Ni1 Ni 0.391 0.750 0.719 1
H1 H 0.164 0.750 0.164 1
```

Output
energy	-6.2812	eV/atom
E above lowest polymorph	0	meV/atom


Record 6
Density functional theory data (PBE-GGA) for an optimized crystal structure of ThNi5H11.

```
data_ThNi5H11
_chemical_formula_sum 'Th2 Ni10 H22'
_cell_length_a 6.081
_cell_length_b 7.937
_cell_length_c 6.078
_cell_angle_alpha 90.00
_cell_angle_beta 114.86
_cell_angle_gamma 90.00
_symmetry_space_group_name_H-M 'C 1 2/m 1'
_symmetry_Int_Tables_number 12
_symmetry_space_group_name_Hall '-C 2y'
loop_
_atom_site_label
_atom_site_type_symbol
_atom_site_fract_x
_atom_site_fract_y
_atom_site_fract_z
_atom_site_occupancy
Th1 Th 0.000 0.000 0.000 1
Ni1 Ni 0.000 0.500 0.000 1
Ni2 Ni 0.214 0.159 0.647 1
H1 H 0.000 0.000 0.500 1
H2 H 0.070 0.500 0.294 1
H3 H 0.071 0.210 0.350 1
H4 H 0.190 0.336 0.064 1
```

Output
energy	-4.4094	eV/atom


Record 7
Density functional theory data (PBE-GGA) for an optimized crystal structure of ThNi2H4.

```
data_ThNi2H4
_chemical_formula_sum 'Th1 Ni2 H4'
_cell_length_a 3.824
_cell_length_b 4.213
_cell_length_c 4.476
_cell_angle_alpha 86.99
_cell_angle_beta 64.76
_cell_angle_gamma 89.96
_symmetry_space_group_name_H-M 'P -1'
_symmetry_Int_Tables_number 2
_symmetry_space_group_name_Hall '-P 1'
loop_
_atom_site_label
_atom_site_type_symbol
_atom_site_fract_x
_atom_site_fract_y
_atom_site_fract_z
_atom_site_occupancy
Th1 Th 0.000 0.000 0.000 1
Ni1 Ni 0.349 0.455 0.301 1
H1 H 0.154 0.517 0.699 1
H2 H 0.324 0.064 0.351 1
```

Output
energy	-4.9797	eV/atom


Record 8
Density functional theory data (PBE-GGA) for an optimized crystal structure of Th2NiH.

```
data_Th2NiH
_chemical_formula_sum 'Th4 Ni2 H2'
_cell_length_a 7.569
_cell_length_b 3.815
_cell_length_c 6.445
_cell_angle_alpha 90.00
_cell_angle_beta 116.02
_cell_angle_gamma 90.00
_symmetry_space_group_name_H-M 'C 1 m 1'
_symmetry_Int_Tables_number 8
_symmetry_space_group_name_Hall 'C -2y'
loop_
_atom_site_label
_atom_site_type_symbol
_atom_site_fract_x
_atom_site_fract_y
_atom_site_fract_z
_atom_site_occupancy
Th1 Th 0.000 0.000 0.000 1
Th2 Th 0.035 0.500 0.520 1
Ni1 Ni 0.274 0.500 0.251 1
H1 H 0.320 0.000 0.728 1
```

Output
energy	-6.2142	eV/atom
E above lowest polymorph	67	meV/atom


Record 9
Density functional theory data (PBE-GGA) for an optimized crystal structure of Th2Ni2H7.

```
data_Th2Ni2H7
_chemical_formula_sum 'Th4 Ni4 H14'
_cell_length_a 7.047
_cell_length_b 8.318
_cell_length_c 3.854
_cell_angle_alpha 90.00
_cell_angle_beta 105.82
_cell_angle_gamma 90.00
_symmetry_space_group_name_H-M 'C 1 2/m 1'
_symmetry_Int_Tables_number 12
_symmetry_space_group_name_Hall '-C 2y'
loop_
_atom_site_label
_atom_site_type_symbol
_atom_site_fract_x
_atom_site_fract_y
_atom_site_fract_z
_atom_site_occupancy
Th1 Th 0.000 0.247 0.000 1
Ni1 Ni 0.235 0.000 0.542 1
H1 H 0.000 0.000 0.500 1
H2 H 0.180 0.338 0.600 1
H3 H 0.195 0.500 0.036 1
```

Output
energy	-4.8439	eV/atom


Record 10
Density functional theory data (PBE-GGA) for an optimized crystal structure of ThZnNi2H8.

```
data_ThZnNi2H8
_chemical_formula_sum 'Th3 Zn3 Ni6 H24'
_cell_length_a 4.4878
_cell_length_b 4.4878
_cell_length_c 17.6766
_cell_angle_alpha 90.00
_cell_angle_beta 90.00
_cell_angle_gamma 120.00
_symmetry_space_group_name_H-M 'R -3'
_symmetry_Int_Tables_number 148
_symmetry_space_group_name_Hall '-R 3'
loop_
_atom_site_label
_atom_site_type_symbol
_atom_site_fract_x
_atom_site_fract_y
_atom_site_fract_z
_atom_site_occupancy
Th1 Th 0.0000 0.0000 0.0000 1
Zn1 Zn 0.0000 0.0000 0.5000 1
Ni1 Ni 0.0000 0.0000 0.2375 1
H1 H 0.0000 0.0000 0.3252 1
H2 H 0.0041 0.6512 0.7711 1
```

Output
energy	-3.9964	eV/atom


Record 11
Density functional theory data (PBE-GGA) for an optimized crystal structure of Ti3Ni5H12.

```
data_Ti3Ni5H12
_chemical_formula_sum 'Ti24 Ni40 H96'
_cell_length_a 10.412
_cell_length_b 10.412
_cell_length_c 10.412
_cell_angle_alpha 90.00
_cell_angle_beta 90.00
_cell_angle_gamma 90.00
_symmetry_space_group_name_H-M 'I a -3 d'
_symmetry_Int_Tables_number 230
_symmetry_space_group_name_Hall '-I 4bd 2c 3'
loop_
_atom_site_label
_atom_site_type_symbol
_atom_site_fract_x
_atom_site_fract_y
_atom_site_fract_z
_atom_site_occupancy
Ti1 Ti 0.000 0.250 0.125 1
Ni1 Ni 0.000 0.000 0.000 1
Ni2 Ni 0.000 0.250 0.375 1
H1 H 0.020 0.061 0.651 1
```

Output
energy	-4.8369	eV/atom


Record 12
Density functional theory data (PBE-GGA) for an optimized crystal structure of Ti6Ni3H.

```
data_Ti6Ni3H
_chemical_formula_sum 'Ti12 Ni6 H2'
_cell_length_a 5.338
_cell_length_b 6.731
_cell_length_c 9.064
_cell_angle_alpha 90.00
_cell_angle_beta 121.17
_cell_angle_gamma 90.00
_symmetry_space_group_name_H-M 'P 1 21/c 1'
_symmetry_Int_Tables_number 14
_symmetry_space_group_name_Hall '-P 2ybc'
loop_
_atom_site_label
_atom_site_type_symbol
_atom_site_fract_x
_atom_site_fract_y
_atom_site_fract_z
_atom_site_occupancy
Ti1 Ti 0.067 0.055 0.240 1
Ti2 Ti 0.199 0.723 0.067 1
Ti3 Ti 0.398 0.147 0.047 1
Ni1 Ni 0.319 0.099 0.708 1
Ni2 Ni 0.500 0.000 0.500 1
H1 H 0.000 0.000 0.000 1
```

Output
energy	-6.9835	eV/atom